1.
The following is a DFT calculation (PBE) of a relaxed structure of UGaPd4.

```
UGaPd4
1.0
-3.121 -2.581 -2.831
1.518 -2.154 4.247
-6.517 6.208 3.857
U Pd Ga
2 8 2
direct
0.827 0.077 0.154
0.173 0.923 0.846
0.149 0.733 0.119
0.866 0.994 0.612
0.754 0.382 0.388
0.134 0.006 0.388
0.851 0.267 0.881
0.529 0.614 0.881
0.246 0.618 0.612
0.471 0.386 0.119
0.434 0.684 0.368
0.566 0.316 0.632
```

Values from the calculation:
DOS(E_F) in states/eV/cell: 17.883
Formation energy in meV per atom: -414.0
Total DFT energy (no corrections) in eV/atom: -6.2618
Theoretical density in Mg/m³: 11.72
Space-group type: No. 15
M_tot in μB per cell: 3.6

2.
The following is a DFT calculation (PBE) of a relaxed structure of LiSc2Sn.

```
LiSc2Sn
1.0
-0.471 -7.079 3.314
7.742 -0.879 -0.776
4.038 -2.766 3.917
Sc Sn Li
4 2 2
direct
0.875 0.861 0.750
0.139 0.625 0.250
0.375 0.389 0.750
0.611 0.125 0.250
0.000 0.000 0.000
0.750 0.250 0.500
0.250 0.750 0.500
0.500 0.500 0.000
```

Values from the calculation:
DOS(E_F) in states/eV/cell: 8.024
Formation energy in meV per atom: -8.5
Total DFT energy (no corrections) in eV/atom: -4.6535
Theoretical density in Mg/m³: 3.97
Space-group type: No. 122
M_tot in μB per cell: 2.0

3.
The following is a DFT calculation (PBE) of a relaxed structure of Li2CaTa.

```
Li2CaTa
1.0
5.696 -0.003 0.000
-2.148 5.276 0.000
0.000 0.000 2.805
Li Ta Ca
2 1 1
direct
0.000 0.000 0.000
0.500 0.500 0.000
0.500 0.000 0.500
0.000 0.500 0.500
```

Values from the calculation:
DOS(E_F) in states/eV/cell: 4.859
Formation energy in meV per atom: 644.2
Total DFT energy (no corrections) in eV/atom: -3.7763
Theoretical density in Mg/m³: 4.63
Space-group type: No. 65
M_tot in μB per cell: 0.3

4.
The following is a DFT calculation (PBE) of a relaxed structure of Fe4BP.

```
Fe4BP
1.0
4.156 -0.235 -0.678
-1.221 5.104 -2.448
-0.160 0.139 5.787
Fe B P
8 2 2
direct
0.149 0.374 0.216
0.935 0.062 0.712
0.851 0.626 0.784
0.065 0.938 0.288
0.435 0.712 0.062
0.649 0.216 0.374
0.351 0.784 0.626
0.565 0.288 0.938
0.250 0.003 0.997
0.750 0.997 0.003
0.750 0.629 0.371
0.250 0.371 0.629
```

Values from the calculation:
DOS(E_F) in states/eV/cell: 11.040
Formation energy in meV per atom: -254.6
Total DFT energy (no corrections) in eV/atom: -7.9110
Theoretical density in Mg/m³: 7.22
Space-group type: No. 15
M_tot in μB per cell: 14.3

5.
The following is a DFT calculation (PBE) of a relaxed structure of HfTi2Nb6.

```
HfTi2Nb6
1.0
-0.140 1.329 4.979
-5.896 1.291 -3.160
3.008 -5.657 4.236
Hf Nb Ti
1 6 2
direct
0.000 0.000 0.000
0.610 0.161 0.942
0.256 0.497 0.500
0.758 0.876 0.362
0.390 0.839 0.058
0.744 0.503 0.500
0.242 0.124 0.638
0.190 0.545 0.172
0.810 0.455 0.828
```

Values from the calculation:
DOS(E_F) in states/eV/cell: 9.927
Formation energy in meV per atom: 196.3
Total DFT energy (no corrections) in eV/atom: -9.3772
Theoretical density in Mg/m³: 8.17
Space-group type: No. 2
M_tot in μB per cell: 0.0

6.
The following is a DFT calculation (PBE) of a relaxed structure of SmHo2Er3S6.

```
SmHo2Er3S6
1.0
-5.889 -2.718 -1.862
5.197 -3.970 1.663
-1.696 2.255 6.134
S Er Ho Sm
6 3 2 1
direct
0.574 0.915 0.743
0.426 0.085 0.257
0.915 0.574 0.743
0.744 0.744 0.254
0.256 0.256 0.746
0.085 0.426 0.257
0.163 0.837 0.500
0.837 0.163 0.500
0.500 0.500 0.500
0.334 0.666 0.000
0.666 0.334 0.000
0.000 0.000 0.000
```

Values from the calculation:
DOS(E_F) in states/eV/cell: 4.860
Total DFT energy (no corrections) in eV/atom: -6.3359
Theoretical density in Mg/m³: 7.78
Space-group type: No. 12
Formation energy from raw total energies in kcal/mol of atoms: -45.55
M_tot in μB per cell: 0.0

Which of these has the highest M_tot? Fe4BP

theoretical density of number 3 (Li2CaTa)? 4.63 Mg/m³

Number 2 is which compound? LiSc2Sn